The following is a DFT calculation (PBE) of a relaxed structure of NbBiMo2Se.

Lattice parameters (Å, degrees): 4.8945 4.8945 5.4128 90.00 90.00 90.00
Atoms (fractional coordinates):
Nb  0.0000  0.0000  0.0000
Bi  0.0000  0.0000  0.5000
Mo  0.0000  0.5000  0.0000
Mo  0.5000  0.0000  0.0000
Se  0.5000  0.5000  0.5000

The mass density comes out at 7.33 g/cm³. Its energy relative to the elements, uncorrected is 1572.9 meV/atom.

=====

The following is a DFT calculation (PBE) of a relaxed structure of PuPbAuO6.

Lattice parameters (Å, degrees): 5.5243 5.5243 10.8305 90.00 90.00 120.00
Atoms (fractional coordinates):
Pu  0.3333  0.6667  0.2500
Pu  0.6667  0.3333  0.7500
Pb  0.0000  0.0000  0.0000
Pb  0.0000  0.0000  0.5000
Au  0.3333  0.6667  0.7500
Au  0.6667  0.3333  0.2500
O  0.0211  0.3675  0.1435
O  0.0211  0.6536  0.3565
O  0.3464  0.3675  0.3565
O  0.3464  0.9789  0.1435
O  0.3675  0.0211  0.6435
O  0.3675  0.3464  0.8565
O  0.6325  0.6536  0.1435
O  0.6325  0.9789  0.3565
O  0.6536  0.0211  0.8565
O  0.6536  0.6325  0.6435
O  0.9789  0.3464  0.6435
O  0.9789  0.6325  0.8565

The mass density comes out at 8.63 g/cm³. Its energy relative to the elements, uncorrected is -1279.2 meV/atom.

=====

The following is a DFT calculation (PBE) of a relaxed structure of MnGeCN.

Lattice parameters (Å, degrees): 5.6583 5.6583 5.6583 32.59 32.59 32.59
Atoms (fractional coordinates):
Mn  0.0000  0.0000  0.0000
Ge  0.4980  0.4980  0.4980
C  0.1279  0.1279  0.1279
N  0.6240  0.6240  0.6240

The mass density comes out at 5.46 g/cm³. Its energy relative to the elements, uncorrected is 292.1 meV/atom. The calculation puts the energy above the lowest structure with this stoichiometry at 10.6 meV per atom.

=====

The following is a DFT calculation (PBE) of a relaxed structure of BaIn2Cu.

Lattice parameters (Å, degrees): 5.4991 5.4991 5.4991 125.56 115.07 89.70
Atoms (fractional coordinates):
Ba  0.0000  0.0000  0.0000
In  0.4631  0.4631  0.0000
In  0.7130  0.2130  0.5000
Cu  0.3247  0.8247  0.5000

The mass density comes out at 6.17 g/cm³. The value obtained for the energy of formation from the pure elements is -0.085 eV/atom.

=====

The following is a DFT calculation (PBE) of a relaxed structure of Zr2TcRh.

Lattice parameters (Å, degrees): 9.5351 9.5351 9.5351 18.18 18.18 18.18
Atoms (fractional coordinates):
Zr  0.0000  0.0000  0.0000
Zr  0.2399  0.2399  0.2399
Tc  0.7519  0.7519  0.7519
Rh  0.4901  0.4901  0.4901

The mass density comes out at 8.64 g/cm³. The value obtained for the energy of formation from the pure elements is 0.124 eV/atom.

=====

The following is a DFT calculation (PBE) of a relaxed structure of Ac4SiBr2N.

Lattice parameters (Å, degrees): 7.3332 4.2193 8.3103 90.00 107.40 90.00
Atoms (fractional coordinates):
Ac  0.2095  0.0000  0.1905
Ac  0.2320  0.5000  0.8029
Ac  0.7680  0.5000  0.1971
Ac  0.7905  0.0000  0.8095
Si  0.5000  0.0000  0.0000
Br  0.0000  0.0000  0.5000
Br  0.5000  0.5000  0.5000
N  0.0000  0.5000  0.0000

The mass density comes out at 7.51 g/cm³. Its energy relative to the elements, uncorrected is -1109.6 meV/atom.

=====

The following is a DFT calculation (PBE) of a relaxed structure of ReP.

Lattice parameters (Å, degrees): 3.4773 3.4773 3.4773 60.00 60.00 60.00
Atoms (fractional coordinates):
Re  0.0000  0.0000  0.0000
P  0.5000  0.5000  0.5000

The mass density comes out at 12.13 g/cm³. The calculation puts the energy above the lowest structure with this stoichiometry at 899.6 meV per atom. The value obtained for the energy of formation from the pure elements is 0.611 eV/atom.

=====

The following is a DFT calculation (PBE) of a relaxed structure of KIn2Pt.

Lattice parameters (Å, degrees): 5.0640 5.0640 5.0640 60.00 60.00 60.00
Atoms (fractional coordinates):
K  0.0000  0.0000  0.0000
In  0.2500  0.2500  0.2500
In  0.7500  0.7500  0.7500
Pt  0.5000  0.5000  0.5000

The mass density comes out at 8.39 g/cm³. The value obtained for the energy of formation from the pure elements is -0.061 eV/atom.